[1]
DFT (PBE-GGA) results for CoAg2Pb after structural relaxation.

The structure in extended XYZ format:
```
8
Lattice="9.847 0.000 0.000 0.000 3.124 0.000 -2.691 0.000 4.945" Properties=species:S:1:pos:R:3 pbc="T T T"
Co 0.000 0.000 0.000
Co 4.924 1.562 0.000
Ag -0.834 1.562 2.058
Ag 1.410 0.000 2.870
Ag 4.089 0.000 2.058
Ag 6.333 1.562 2.870
Pb 2.191 1.562 0.097
Pb 7.115 0.000 0.097
```

Properties
* energy of formation from the pure elements: 0.388 eV per atom
* E: -3.74 eV/atom
* SG: Cm (8)

[2]
DFT (PBE-GGA) results for CoAg2Pb after structural relaxation.

The structure in extended XYZ format:
```
4
Lattice="3.154 0.000 0.000 0.000 3.154 0.000 0.000 0.000 7.798" Properties=species:S:1:pos:R:3 pbc="T T T"
Co 0.000 0.000 0.000
Ag 1.577 1.577 1.523
Ag 1.577 1.577 6.275
Pb 0.000 0.000 3.899
```

Properties
* energy of formation from the pure elements: 0.391 eV per atom
* E: -3.74 eV/atom
* SG: P4/mmm (123)

[3]
DFT (PBE-GGA) results for CoAg2Pb after structural relaxation.

The structure in extended XYZ format:
```
8
Lattice="3.975 0.000 0.000 0.000 3.975 0.000 0.000 0.000 9.277" Properties=species:S:1:pos:R:3 pbc="T T T"
Co 0.000 0.000 0.000
Co 1.987 1.987 4.639
Ag 0.000 1.987 2.319
Ag 0.000 1.987 6.958
Ag 1.987 0.000 2.319
Ag 1.987 0.000 6.958
Pb 0.000 0.000 4.639
Pb 1.987 1.987 0.000
```

Properties
* energy of formation from the pure elements: 0.409 eV per atom
* E: -3.72 eV/atom
* SG: I4/mmm (139)

[4]
DFT (PBE-GGA) results for CoAgPb after structural relaxation.

The structure in extended XYZ format:
```
3
Lattice="4.505 0.000 0.000 -2.252 3.901 0.000 0.000 0.000 3.179" Properties=species:S:1:pos:R:3 pbc="T T T"
Co 0.000 0.000 0.000
Ag 2.252 1.300 1.453
Pb 0.000 2.601 2.926
```

Properties
* energy of formation from the pure elements: 0.533 eV per atom
* E: -4.02 eV/atom
* SG: P3m1 (156)

[5]
DFT (PBE-GGA) results for Co2AgPb2 after structural relaxation.

The structure in extended XYZ format:
```
10
Lattice="6.976 0.000 0.000 0.000 6.976 0.000 0.000 0.000 3.803" Properties=species:S:1:pos:R:3 pbc="T T T"
Co 0.844 2.644 0.000
Co 2.644 6.133 0.000
Co 4.332 0.844 0.000
Co 6.133 4.332 0.000
Ag 0.000 0.000 0.000
Ag 3.488 3.488 0.000
Pb 1.217 4.705 1.901
Pb 2.271 1.217 1.901
Pb 4.705 5.759 1.901
Pb 5.759 2.271 1.901
```

Properties
* energy of formation from the pure elements: 0.388 eV per atom
* E: -4.51 eV/atom
* SG: P4/mbm (127)

[6]
DFT (PBE-GGA) results for CoAgPb after structural relaxation.

The structure in extended XYZ format:
```
3
Lattice="3.204 0.000 0.000 -1.602 2.775 0.000 0.000 0.000 6.618" Properties=species:S:1:pos:R:3 pbc="T T T"
Co 0.000 0.000 0.000
Ag 0.000 1.850 4.651
Pb 1.602 0.925 2.034
```

Properties
* energy of formation from the pure elements: 0.571 eV per atom
* E: -3.98 eV/atom
* SG: P3m1 (156)

[7]
DFT (PBE-GGA) results for CoAg2Pb after structural relaxation.

The structure in extended XYZ format:
```
4
Lattice="3.947 0.000 0.000 0.000 4.071 0.000 0.000 0.000 4.530" Properties=species:S:1:pos:R:3 pbc="T T T"
Co 0.000 0.000 0.000
Ag 0.000 2.035 2.265
Ag 1.973 0.000 2.265
Pb 1.973 2.035 0.000
```

Properties
* energy of formation from the pure elements: 0.385 eV per atom
* E: -3.74 eV/atom
* SG: Pmmm (47)

[8]
DFT (PBE-GGA) results for CoAg2Pb after structural relaxation.

The structure in extended XYZ format:
```
12
Lattice="3.120 0.000 0.000 -1.560 2.702 0.000 0.000 0.000 27.982" Properties=species:S:1:pos:R:3 pbc="T T T"
Co 0.000 0.000 0.000
Co 0.000 1.801 18.655
Co 1.560 0.901 9.327
Ag 0.000 0.000 7.318
Ag 0.000 0.000 20.664
Ag 0.000 1.801 11.337
Ag 0.000 1.801 25.973
Ag 1.560 0.901 2.009
Ag 1.560 0.901 16.646
Pb 0.000 0.000 13.991
Pb 0.000 1.801 4.664
Pb 1.560 0.901 23.319
```

Properties
* energy of formation from the pure elements: 0.465 eV per atom
* E: -3.66 eV/atom
* SG: R-3m (166)